Density functional theory data (SCAN) for SbH7F12 at its PBEsol-relaxed geometry.

## Properties
ρ (Mg/m³): 2.7
N(E_F) (states/eV per cell): 0.00
VASP energy (eV for the cell shown): -140.41
Magnetic moment (μB/f.u.): 0.0

Structure (POSCAR):
```
SbH7F12
1.0
5.153 0.000 0.048
0.000 6.162 0.000
-2.375 -3.081 6.826
F H Sb
12 7 1
Cartesian
3.059 0.080 3.501
-0.281 3.161 3.374
0.787 1.331 1.088
3.140 3.073 1.024
3.565 -0.002 1.188
0.751 0.046 3.838
-0.362 -0.008 5.851
0.792 4.836 1.085
-0.787 3.079 5.687
1.991 -1.750 5.786
1.986 1.755 5.790
2.027 3.127 3.037
-0.528 3.127 4.356
2.537 3.101 1.922
3.306 0.046 2.519
0.241 0.020 4.953
0.985 3.143 3.144
1.793 0.062 3.731
2.577 3.075 0.024
0.000 0.002 0.000
```